Record 1
The following is a DFT calculation (PBE) of a relaxed structure of AgSeBr3.

The structure in POSCAR format:
```
AgSeBr3
1.0
8.250 0.000 0.000
0.000 7.830 0.000
-1.924 0.000 11.878
Ag Se Br
4 4 12
Direct
0.097 0.017 0.166 Ag
0.097 0.483 0.666 Ag
0.903 0.517 0.334 Ag
0.903 0.983 0.834 Ag
0.407 0.517 0.406 Se
0.407 0.983 0.906 Se
0.593 0.017 0.094 Se
0.593 0.483 0.594 Se
0.155 0.184 0.783 Br
0.155 0.316 0.283 Br
0.160 0.684 0.474 Br
0.160 0.816 0.974 Br
0.411 0.597 0.728 Br
0.411 0.903 0.228 Br
0.589 0.097 0.772 Br
0.589 0.403 0.272 Br
0.840 0.184 0.026 Br
0.840 0.316 0.526 Br
0.845 0.684 0.717 Br
0.845 0.816 0.217 Br
```

Calculated values
Formation energy without anion corrections = -0.110 eV per atom

***

Record 2
The following is a DFT calculation (PBE) of a relaxed structure of Ag4SeBr2.

The structure in POSCAR format:
```
Ag4SeBr2
1.0
-2.600 2.600 7.126
2.600 -2.600 7.126
2.600 2.600 -7.126
Ag Se Br
4 1 2
Direct
0.000 0.500 0.500 Ag
0.179 0.179 0.000 Ag
0.500 0.000 0.500 Ag
0.821 0.821 0.000 Ag
0.000 0.000 0.000 Se
0.356 0.356 0.000 Br
0.644 0.644 0.000 Br
```

Calculated values
Formation energy without anion corrections = -0.130 eV per atom

***

Record 3
The following is a DFT calculation (PBE) of a relaxed structure of Ag2SeBr5.

The structure in POSCAR format:
```
Ag2SeBr5
1.0
2.966 -6.702 0.000
2.966 6.702 0.000
0.000 0.000 12.985
Ag Se Br
4 2 10
Direct
0.122 0.878 0.597 Ag
0.122 0.878 0.903 Ag
0.878 0.122 0.097 Ag
0.878 0.122 0.403 Ag
0.233 0.767 0.250 Se
0.767 0.233 0.750 Se
0.087 0.913 0.109 Br
0.087 0.913 0.391 Br
0.261 0.739 0.750 Br
0.363 0.637 0.107 Br
0.363 0.637 0.393 Br
0.637 0.363 0.607 Br
0.637 0.363 0.893 Br
0.739 0.261 0.250 Br
0.913 0.087 0.609 Br
0.913 0.087 0.891 Br
```

Calculated values
Formation energy without anion corrections = -0.189 eV per atom

***

Record 4
The following is a DFT calculation (PBE) of a relaxed structure of Ag2SeBr.

The structure in POSCAR format:
```
Ag2SeBr
1.0
3.636 0.000 0.000
0.000 3.970 0.000
0.000 0.000 7.368
Ag Se Br
2 1 1
Direct
0.000 0.000 0.000 Ag
0.000 0.500 0.500 Ag
0.500 0.000 0.500 Se
0.500 0.500 0.000 Br
```

Calculated values
Formation energy without anion corrections = 0.007 eV per atom

***

Record 5
The following is a DFT calculation (PBE) of a relaxed structure of AgSeBr3.

The structure in POSCAR format:
```
AgSeBr3
1.0
5.373 0.000 0.000
0.000 5.373 0.000
0.000 0.000 5.373
Ag Se Br
1 1 3
Direct
0.000 0.000 0.000 Ag
0.500 0.500 0.500 Se
0.000 0.500 0.500 Br
0.500 0.000 0.500 Br
0.500 0.500 0.000 Br
```

Calculated values
Formation energy without anion corrections = 0.147 eV per atom

***

Record 6
The following is a DFT calculation (PBE) of a relaxed structure of Ag2SeBr.

The structure in POSCAR format:
```
Ag2SeBr
1.0
3.907 -3.816 0.000
3.907 3.816 0.000
-1.177 0.000 3.250
Ag Se Br
2 1 1
Direct
0.000 0.500 0.000 Ag
0.500 0.000 0.000 Ag
0.000 0.000 0.000 Se
0.500 0.500 0.000 Br
```

Calculated values
Formation energy without anion corrections = 0.014 eV per atom

***

Record 7
The following is a DFT calculation (PBE) of a relaxed structure of Ag2SeBr.

The structure in POSCAR format:
```
Ag2SeBr
1.0
5.250 0.000 0.000
0.000 5.250 0.000
0.000 0.000 3.135
Ag Se Br
2 1 1
Direct
0.000 0.500 0.000 Ag
0.500 0.000 0.000 Ag
0.000 0.000 0.500 Se
0.500 0.500 0.500 Br
```

Calculated values
Formation energy without anion corrections = 0.099 eV per atom

***

Record 8
The following is a DFT calculation (PBE) of a relaxed structure of AgSeBr4.

The structure in POSCAR format:
```
AgSeBr4
1.0
3.999 -8.043 0.000
3.999 8.043 0.000
-3.755 0.000 6.132
Ag Se Br
2 2 8
Direct
0.184 0.816 0.750 Ag
0.816 0.184 0.250 Ag
0.320 0.680 0.250 Se
0.680 0.320 0.750 Se
0.012 0.406 0.713 Br
0.213 0.358 0.271 Br
0.358 0.213 0.771 Br
0.406 0.012 0.213 Br
0.594 0.988 0.787 Br
0.642 0.787 0.229 Br
0.787 0.642 0.729 Br
0.988 0.594 0.287 Br
```

Calculated values
Formation energy without anion corrections = -0.147 eV per atom

***

Record 9
The following is a DFT calculation (PBE) of a relaxed structure of AgSe2Br.

The structure in POSCAR format:
```
AgSe2Br
1.0
3.952 -1.939 0.000
3.952 1.939 0.000
-2.031 0.000 7.237
Ag Se Br
1 2 1
Direct
0.000 0.000 0.000 Ag
0.448 0.448 0.430 Se
0.641 0.641 0.256 Se
0.279 0.279 0.820 Br
```

Calculated values
Formation energy without anion corrections = -0.052 eV per atom

***

Record 10
The following is a DFT calculation (PBE) of a relaxed structure of AgSe2Br.

The structure in POSCAR format:
```
AgSe2Br
1.0
8.383 -1.869 0.000
8.383 1.869 0.000
-0.574 0.000 3.892
Ag Se Br
1 2 1
Direct
0.000 0.000 0.000 Ag
0.271 0.271 0.825 Se
0.729 0.729 0.175 Se
0.500 0.500 0.500 Br
```

Calculated values
Formation energy without anion corrections = -0.007 eV per atom

***

Record 11
The following is a DFT calculation (PBE) of a relaxed structure of Ag2SeBr.

The structure in POSCAR format:
```
Ag2SeBr
1.0
-3.111 3.111 6.002
3.111 -3.111 6.002
3.111 3.111 -6.002
Ag Se Br
4 2 2
Direct
0.095 0.625 0.970 Ag
0.375 0.345 0.470 Ag
0.655 0.125 0.030 Ag
0.875 0.905 0.530 Ag
0.000 0.000 0.000 Se
0.750 0.250 0.500 Se
0.250 0.750 0.500 Br
0.500 0.500 0.000 Br
```

Calculated values
Formation energy without anion corrections = -0.096 eV per atom

***

Record 12
The following is a DFT calculation (PBE) of a relaxed structure of Ag2SeBr2.

The structure in POSCAR format:
```
Ag2SeBr2
1.0
7.948 0.000 0.000
0.000 7.948 0.000
0.000 0.000 3.737
Ag Se Br
4 2 4
Direct
0.169 0.331 0.000 Ag
0.331 0.831 0.000 Ag
0.669 0.169 0.000 Ag
0.831 0.669 0.000 Ag
0.000 0.000 0.000 Se
0.500 0.500 0.000 Se
0.147 0.647 0.500 Br
0.353 0.147 0.500 Br
0.647 0.853 0.500 Br
0.853 0.353 0.500 Br
```

Calculated values
Formation energy without anion corrections = 0.167 eV per atom